1.
This record from Alexandria describes an optimized crystal structure of NaSmIn4Se8. The functional is GGA-PBE.

Geometry as extended XYZ:
```
14
Lattice="8.240 0.000 0.000 4.120 7.136 0.000 4.120 2.379 6.906" Properties=species:S:1:pos:R:3 pbc="T T T"
Se 8.240 2.223 1.813
Se 4.120 2.379 2.006
Se 8.240 7.210 4.999
Se 12.360 7.136 4.975
Se 10.364 3.531 4.999
Se 6.116 3.531 4.999
Se 10.435 6.025 1.813
Se 6.046 6.025 1.813
In 2.161 1.248 3.523
In 6.079 1.248 3.523
In 8.240 4.757 0.929
In 4.120 4.641 3.523
Sm 4.120 2.379 6.692
Na 8.240 4.757 6.192
```

Formation energy from raw total energies   -0.787 eV/atom
Mass density   5.17 g/cm3
SG   No. 160
Total DFT energy (no corrections)   -3.9916 eV per atom

---

2.
This record from Alexandria describes an optimized crystal structure of MgAlCd2. The functional is GGA-PBE.

Geometry as extended XYZ:
```
4
Lattice="-2.255 -1.776 -4.498 3.740 -2.294 -3.036 -1.310 -0.688 5.126" Properties=species:S:1:pos:R:3 pbc="T T T"
Cd 0.742 -2.035 -3.767
Cd 1.484 -4.070 -7.534
Mg 1.586 -2.509 -0.839
Al -1.411 -2.250 -1.569
```

Mass density   5.50 g/cm3
SG   No. 139
Total DFT energy (no corrections)   -1.7716 eV per atom

---

3.
This record from Alexandria describes an optimized crystal structure of U5Cu2S12. The functional is GGA-PBE.

Geometry as extended XYZ:
```
19
Lattice="-1.250 6.568 1.449 -5.634 -3.585 -4.756 -2.143 -2.144 7.868" Properties=species:S:1:pos:R:3 pbc="T T T"
U -1.072 -1.072 3.934
U -5.266 -1.594 2.682
U -3.760 2.433 1.880
U -4.323 -0.518 -1.380
U -4.703 1.357 5.942
S -6.396 -0.504 4.848
S -3.256 4.629 0.439
S -5.771 -3.790 4.122
S -5.578 0.525 0.935
S -2.631 1.343 -0.286
S -7.884 -1.955 2.062
S -7.282 2.537 -1.628
S -1.744 -1.698 6.190
S -1.142 2.794 2.499
S -4.078 3.618 4.356
S -4.949 -2.779 0.206
S -3.449 0.314 3.627
Cu -0.330 1.736 0.383
Cu -0.919 4.832 1.066
```

Formation energy from raw total energies   -1.070 eV/atom
Mass density   6.85 g/cm3
SG   No. 12
Total DFT energy (no corrections)   -7.0784 eV per atom